A geometry-optimized HfPIO2 structure. Source: the Alexandria database, functional PBE.

The calculation puts the calculated volume at 102.4 Å³ per cell. The relative energy among the computed polymorphs comes out at 19.8 kJ/mol of atoms. The value obtained for the density of states at the Fermi level is 0.406 states/eV per atom.

The structure belongs to space group P4/mmm (No. 123); the cell edges are 4.051, 4.051 and 6.242 Å and the angles 90.00°, 90.00° and 90.00°. The distinct sites, in fractional coordinates, are Hf at (0.000, 0.000, 0.000), P at (0.500, 0.500, 0.500), I at (0.000, 0.000, 0.500) and O at (0.000, 0.500, 0.000).